Material: BaIn2Rh2
Method: DFT, PBE
State: optimized geometry

Its electronic total energy is -48.1 eV/cell. For the formation energy, the calculation gives -0.391 eV per atom.

The structure belongs to space group C2/m (No. 12); the cell edges are 11.391, 4.467 and 5.103 Å and the angles 90.00°, 105.62° and 90.00°. The asymmetric unit holds Ba at (0.000, 0.000, 0.000), In at (0.151, 0.500, 0.581) and Rh at (0.240, 0.500, 0.140).